MgCd2In2Hg7 after structural relaxation. Source: Alexandria, functional GGA-PBE.

Properties
Energy, eV per cell: -10.91
Total magnetization, μB/cell: 0.000
Mass density, kg/m3: 10347
Formation energy, eV per atom: 0.009

Cell lengths 5.336, 5.435, 11.094 Å; angles 104.18, 103.92, 90.00 degrees
Fractional positions:
Hg  0.081  0.578  0.163
Hg  0.835  0.833  0.670
Cd  0.251  0.752  0.503
Hg  0.420  0.924  0.840
Hg  0.580  0.084  0.160
Mg  0.000  0.993  0.000
Hg  0.165  0.163  0.330
In  0.334  0.336  0.668
Cd  0.749  0.249  0.497
Hg  0.500  0.505  0.000
In  0.666  0.668  0.332
Hg  0.919  0.415  0.837

Nd2Y3TmSe6 after structural relaxation. Source: Alexandria, functional GGA-PBE.

Properties
Energy, eV per cell: -75.57
Uncorrected formation energy, eV/atom: -1.772
Total magnetization, μB/cell: 0.000
Mass density, kg/m3: 6678

Cell lengths 4.102, 8.300, 9.214 Å; angles 102.79, 102.86, 90.00 degrees
Fractional positions:
Se  0.338  0.927  0.676
Y  0.828  0.166  0.656
Tm  0.500  0.000  0.000
Se  0.338  0.410  0.676
Y  0.500  0.500  0.000
Nd  0.170  0.337  0.339
Se  0.662  0.073  0.324
Se  0.662  0.590  0.324
Nd  0.830  0.663  0.661
Se  0.996  0.242  0.992
Se  0.004  0.758  0.008
Y  0.172  0.834  0.344

TbEr6Sc3 after structural relaxation. Source: Alexandria, functional GGA-PBE.

Properties
Energy, eV per cell: -98.70
Total magnetization, μB/cell: 0.000
Excess energy over the best structure of this formula in the dataset, meV/atom: 40.2
Mass density, kg/m3: 7378
Formation energy, eV per atom: 0.165

Cell lengths 6.118, 10.587, 10.587 Å; angles 121.62, 90.00, 90.00 degrees
Fractional positions:
Sc  0.932  0.699  0.924
Er  0.357  0.034  0.443
Sc  0.619  0.614  0.386
Tb  0.194  0.210  0.790
Er  0.871  0.047  0.953
Er  0.028  0.370  0.294
Er  0.528  0.294  0.370
Sc  0.932  0.076  0.301
Tb  0.694  0.790  0.210
Sc  0.119  0.386  0.614
Er  0.028  0.706  0.630
Er  0.528  0.630  0.706
Er  0.668  0.305  0.695
Er  0.857  0.443  0.034
Er  0.371  0.953  0.047
Sc  0.432  0.924  0.699
Er  0.357  0.557  0.966
Sc  0.432  0.301  0.076
Er  0.168  0.695  0.305
Er  0.857  0.966  0.557

Zr2Ag after structural relaxation. Source: Alexandria, functional GGA-PBE.

Properties
Energy, eV per cell: -18.56
Total magnetization, μB/cell: 0.000
Mass density, kg/m3: 6623
Formation energy, eV per atom: 0.464

Cell lengths 4.687, 4.687, 4.687 Å; angles 60.00, 60.00, 60.00 degrees
Fractional positions:
Zr  0.250  0.250  0.250
Zr  0.750  0.750  0.750
Ag  0.000  0.000  0.000

Pm4Sm2ErSc after structural relaxation. Source: Alexandria, functional GGA-PBE.

Properties
Energy, eV per cell: -39.10
Total magnetization, μB/cell: 0.000
Mass density, kg/m3: 7010
Formation energy, eV per atom: 0.029

Cell lengths 5.092, 5.072, 11.239 Å; angles 63.13, 90.00, 90.00 degrees
Fractional positions:
Pm  0.500  0.254  0.746
Pm  0.500  0.746  0.254
Sm  0.500  0.000  0.500
Sc  0.000  0.500  0.500
Pm  0.000  0.245  0.255
Pm  0.000  0.755  0.745
Sm  0.000  0.000  0.000
Er  0.500  0.500  0.000

Ce2ScIn after structural relaxation. Source: Alexandria, functional GGA-PBE.

Properties
Energy, eV per cell: -21.14
Total magnetization, μB/cell: 3.198
Excess energy over the best structure of this formula in the dataset, meV/atom: 210.2
Mass density, kg/m3: 6506
Formation energy, eV per atom: -0.049

Cell lengths 5.415, 5.415, 5.415 Å; angles 60.00, 60.00, 60.00 degrees
Last column: magnetic moment on the atom in μB.
Fractional positions:
In  0.000  0.000  0.000  -0.03
Sc  0.500  0.500  0.500  0.53
Ce  0.250  0.250  0.250  0.95
Ce  0.750  0.750  0.750  0.95

no.,N(E_F) (states/eV/cell)
1,4.53
2,5.92
3,26.01
4,5.62
5,11.25
6,12.78